1.
KTl6Pt3 | the Alexandria database | PBE-GGA | relaxed; energy of formation = -0.038 eV/atom; total moment = 0.00 Bohr magnetons per cell; SG = No. 11
1.0
-0.256 4.219 -1.200
-8.364 1.753 7.945
8.197 2.512 7.086
K Tl Pt
2 12 6
Direct
0.750 0.071 0.757
0.250 0.929 0.243
0.750 0.402 0.564
0.250 0.598 0.436
0.750 0.807 0.972
0.250 0.193 0.028
0.750 0.402 0.058
0.250 0.598 0.942
0.750 0.674 0.220
0.250 0.326 0.780
0.750 0.106 0.440
0.250 0.894 0.560
0.750 0.683 0.697
0.250 0.317 0.303
0.750 0.481 0.817
0.250 0.519 0.183
0.750 0.761 0.468
0.250 0.239 0.532
0.750 0.054 0.040
0.250 0.946 0.960

2.
NaCoTc2Pt | the Alexandria database | PBE-GGA | relaxed; energy of formation = 1.807 eV/atom; total moment = 5.40 Bohr magnetons per cell; SG = No. 123
1.0
4.791 0.000 0.000
0.000 4.942 0.000
0.000 0.000 4.791
Na Co Tc Pt
1 1 2 1
Direct
0.000 0.500 0.000
0.500 0.500 0.500
0.000 0.000 0.500
0.500 0.000 0.000
0.000 0.000 0.000

3.
Sr2InGa2 | the Alexandria database | PBE-GGA | relaxed; energy of formation = -0.179 eV/atom; total moment = 0.00 Bohr magnetons per cell; energy above the most stable polymorph in this dataset = 263 meV/atom; SG = No. 139
1.0
-0.397 5.937 -2.175
-6.250 -0.039 1.035
-2.711 4.364 3.181
Sr Ga In
2 2 1
Direct
0.750 0.250 0.500
0.250 0.750 0.500
0.350 0.350 0.299
0.650 0.650 0.701
0.000 0.000 0.000

4.
CrBr2Cl | the Alexandria database | PBE-GGA | relaxed; formation energy from raw total energies = -0.140 eV per atom; total moment = 3.89 Bohr magnetons per cell; energy above the most stable polymorph in this dataset = 631 meV/atom; SG = No. 99
1.0
3.204 0.000 0.000
0.000 3.204 0.000
0.000 0.000 10.356
Cr Br Cl
1 2 1
Direct
0.500 0.500 0.742
0.000 0.000 0.903
0.500 0.500 0.252
0.000 0.000 0.602

5.
MoAsHBr2 | the Alexandria database | PBE-GGA | relaxed; total moment = 1.38 Bohr magnetons per cell; energy above the most stable polymorph in this dataset = 0 meV/atom; SG = No. 123
1.0
-0.625 -4.289 2.921
-0.756 -2.836 -4.325
4.730 -0.865 -0.259
H Mo As Br
1 1 1 2
Direct
0.500 0.500 0.500
0.000 0.000 0.000
0.000 0.000 0.500
0.000 0.500 0.000
0.500 0.000 0.000

6.
TcPdNF2 | the Alexandria database | PBE-GGA | relaxed; formation energy from raw total energies = 0.442 eV per atom; total moment = 4.40 Bohr magnetons per cell; energy above the most stable polymorph in this dataset = 742 meV/atom; SG = No. 123
1.0
-4.373 -0.111 -0.921
0.334 -4.330 -1.061
-0.720 -0.921 3.534
N Tc Pd F
1 1 1 2
Direct
0.000 0.000 0.500
0.500 0.500 0.500
0.000 0.000 0.000
0.000 0.500 0.000
0.500 0.000 0.000

Question: Among the records above, which one has the highest total moment?
Answer: NaCoTc2Pt

Question: Among the records above, which one has the highest total moment?
Answer: NaCoTc2Pt

Question: What is the total moment in the fourth record?
Answer: 3.89 Bohr magnetons per cell